Density functional theory data (PBE) for TmScHg after structural relaxation.

```
6
Lattice="5.008 0.000 0.000 -2.504 4.337 0.000 0.000 0.000 6.735" Properties=species:S:1:pos:R:3 pbc="T T T"
Tm 0.000 0.000 0.000
Tm 0.000 0.000 3.367
Sc 0.000 2.892 1.684
Sc 2.504 1.446 5.051
Hg 0.000 2.892 5.051
Hg 2.504 1.446 1.684
```

## Properties
* excess energy over the best structure of this formula in the dataset: 0 meV/atom
* formation energy from the elements: -0.9 eV per formula unit
* calculated volume: 24.4 A^3/atom

---

Density functional theory data (PBE) for Pm2TlCd4 after structural relaxation.

```
7
Lattice="-2.175 2.175 9.747 2.175 -2.175 9.747 2.175 2.175 -9.747" Properties=species:S:1:pos:R:3 pbc="T T T"
Pm 0.000 0.000 1.854
Pm 0.000 0.000 17.641
Tl 0.000 0.000 9.747
Cd 2.175 0.000 4.874
Cd 0.000 0.000 6.803
Cd 0.000 0.000 12.692
Cd 0.000 2.175 4.874
```

## Properties
* formation energy from the elements: -1.5 eV per formula unit
* calculated volume: 26.4 A^3/atom